No. 1
A relaxed structure of Li3SmU3Se8, computed with GGA-PBE.

```
data_Li3SmU3Se8
_chemical_formula_sum 'Li9 Sm3 U9 Se24'
_symmetry_space_group_name_H-M 'R -3 m'
_symmetry_Int_Tables_number 166
_symmetry_space_group_name_Hall '-R 3 2"'
_cell_length_a 8.1842
_cell_length_b 8.1842
_cell_length_c 19.5701
_cell_angle_alpha 90.00
_cell_angle_beta 90.00
_cell_angle_gamma 120.00
loop_
_atom_site_label
_atom_site_type_symbol
_atom_site_fract_x
_atom_site_fract_y
_atom_site_fract_z
Li1 Li 0.0000 0.5000 0.0000
Sm1 Sm 0.0000 0.0000 0.5000
U1 U 0.0000 0.5000 0.5000
Se1 Se 0.0000 0.0000 0.2528
Se2 Se 0.0053 0.5026 0.7488
```

Calculated values
Raw formation energy, meV/atom: -1293
E, eV/cell: -274.81
Density, g cm⁻³: 6.7
Total magnetic moment, μB/cell: 24.01

=====

No. 2
A relaxed structure of LiSm2USe6, computed with GGA-PBE.

```
data_LiSm2USe6
_chemical_formula_sum 'Li1 Sm2 U1 Se6'
_symmetry_space_group_name_H-M 'P 4 m m'
_symmetry_Int_Tables_number 99
_symmetry_space_group_name_Hall 'P 4 -2'
_cell_length_a 7.012
_cell_length_b 7.012
_cell_length_c 5.934
_cell_angle_alpha 90.00
_cell_angle_beta 90.00
_cell_angle_gamma 90.00
loop_
_atom_site_label
_atom_site_type_symbol
_atom_site_fract_x
_atom_site_fract_y
_atom_site_fract_z
Li1 Li 0.000 0.000 0.000
Sm1 Sm 0.000 0.500 0.426
U1 U 0.500 0.500 0.082
Se1 Se 0.000 0.000 0.595
Se2 Se 0.237 0.237 0.156
Se3 Se 0.500 0.500 0.605
```

Calculated values
Raw formation energy, meV/atom: -1160
E, eV/cell: -55.15
Density, g cm⁻³: 5.8
Total magnetic moment, μB/cell: 1.00

=====

No. 3
A relaxed structure of LiSm2Y3Se6, computed with GGA-PBE.

```
data_LiSm2Y3Se6
_chemical_formula_sum 'Li2 Sm4 Y6 Se12'
_symmetry_space_group_name_H-M 'C 1 2/m 1'
_symmetry_Int_Tables_number 12
_symmetry_space_group_name_Hall '-C 2y'
_cell_length_a 17.907
_cell_length_b 4.097
_cell_length_c 8.214
_cell_angle_alpha 90.00
_cell_angle_beta 103.35
_cell_angle_gamma 90.00
loop_
_atom_site_label
_atom_site_type_symbol
_atom_site_fract_x
_atom_site_fract_y
_atom_site_fract_z
Li1 Li 0.000 0.000 0.000
Sm1 Sm 0.169 0.500 0.340
Y1 Y 0.000 0.000 0.500
Y2 Y 0.167 0.500 0.830
Se1 Se 0.001 0.500 0.756
Se2 Se 0.163 0.000 0.076
Se3 Se 0.163 0.000 0.588
```

Calculated values
Raw formation energy, meV/atom: -1777
E, eV/cell: -145.95
Density, g cm⁻³: 5.9
Total magnetic moment, μB/cell: 0.00

=====

No. 4
A relaxed structure of LiSm3Y2Se6, computed with GGA-PBE.

```
data_LiSm3Y2Se6
_chemical_formula_sum 'Li2 Sm6 Y4 Se12'
_symmetry_space_group_name_H-M 'C 1 2/m 1'
_symmetry_Int_Tables_number 12
_symmetry_space_group_name_Hall '-C 2y'
_cell_length_a 7.087
_cell_length_b 12.309
_cell_length_c 7.152
_cell_angle_alpha 90.00
_cell_angle_beta 109.45
_cell_angle_gamma 90.00
loop_
_atom_site_label
_atom_site_type_symbol
_atom_site_fract_x
_atom_site_fract_y
_atom_site_fract_z
Li1 Li 0.000 0.000 0.000
Sm1 Sm 0.000 0.167 0.500
Sm2 Sm 0.000 0.500 0.500
Y1 Y 0.000 0.335 0.000
Se1 Se 0.241 0.163 0.238
Se2 Se 0.245 0.000 0.764
```

Calculated values
Raw formation energy, meV/atom: -1780
E, eV/cell: -142.53
Density, g cm⁻³: 6.3
Total magnetic moment, μB/cell: 0.00

=====

No. 5
A relaxed structure of Li2SmYSe4, computed with GGA-PBE.

```
data_Li2SmYSe4
_chemical_formula_sum 'Li2 Sm1 Y1 Se4'
_symmetry_space_group_name_H-M 'P 1 2/m 1'
_symmetry_Int_Tables_number 10
_symmetry_space_group_name_Hall '-P 2y'
_cell_length_a 6.930
_cell_length_b 4.115
_cell_length_c 7.125
_cell_angle_alpha 90.00
_cell_angle_beta 110.00
_cell_angle_gamma 90.00
loop_
_atom_site_label
_atom_site_type_symbol
_atom_site_fract_x
_atom_site_fract_y
_atom_site_fract_z
Li1 Li 0.000 0.000 0.000
Li2 Li 0.000 0.500 0.500
Sm1 Sm 0.500 0.000 0.500
Y1 Y 0.500 0.500 0.000
Se1 Se 0.243 0.500 0.244
Se2 Se 0.245 0.000 0.753
```

Calculated values
Raw formation energy, meV/atom: -1690
E, eV/cell: -42.47
Density, g cm⁻³: 4.9
Total magnetic moment, μB/cell: 0.00

=====

No. 6
A relaxed structure of Li3Sm4YSe8, computed with GGA-PBE.

```
data_Li3Sm4YSe8
_chemical_formula_sum 'Li9 Sm12 Y3 Se24'
_symmetry_space_group_name_H-M 'R -3 m'
_symmetry_Int_Tables_number 166
_symmetry_space_group_name_Hall '-R 3 2"'
_cell_length_a 8.2281
_cell_length_b 8.2281
_cell_length_c 19.9047
_cell_angle_alpha 90.00
_cell_angle_beta 90.00
_cell_angle_gamma 120.00
loop_
_atom_site_label
_atom_site_type_symbol
_atom_site_fract_x
_atom_site_fract_y
_atom_site_fract_z
Li1 Li 0.0000 0.5000 0.0000
Sm1 Sm 0.0000 0.0000 0.5000
Sm2 Sm 0.0000 0.5000 0.5000
Y1 Y 0.0000 0.0000 0.0000
Se1 Se 0.0000 0.0000 0.2530
Se2 Se 0.0036 0.5018 0.2541
```

Calculated values
Raw formation energy, meV/atom: -1725
E, eV/cell: -259.66
Density, g cm⁻³: 5.7
Total magnetic moment, μB/cell: 0.00

=====

No. 7
A relaxed structure of LiSm3Y3Se8, computed with GGA-PBE.

```
data_LiSm3Y3Se8
_chemical_formula_sum 'Li3 Sm9 Y9 Se24'
_symmetry_space_group_name_H-M 'R -3 m'
_symmetry_Int_Tables_number 166
_symmetry_space_group_name_Hall '-R 3 2"'
_cell_length_a 8.1940
_cell_length_b 8.1940
_cell_length_c 20.1538
_cell_angle_alpha 90.00
_cell_angle_beta 90.00
_cell_angle_gamma 120.00
loop_
_atom_site_label
_atom_site_type_symbol
_atom_site_fract_x
_atom_site_fract_y
_atom_site_fract_z
Li1 Li 0.0000 0.0000 0.0000
Sm1 Sm 0.0000 0.5000 0.5000
Y1 Y 0.0000 0.5000 0.0000
Se1 Se 0.0000 0.0000 0.2522
Se2 Se 0.0022 0.5011 0.7472
```

Calculated values
Raw formation energy, meV/atom: -1809
E, eV/cell: -271.42
Density, g cm⁻³: 5.8
Total magnetic moment, μB/cell: 0.00

=====

No. 8
A relaxed structure of LiSmY2Se4, computed with GGA-PBE.

```
data_LiSmY2Se4
_chemical_formula_sum 'Li1 Sm1 Y2 Se4'
_symmetry_space_group_name_H-M 'P 1 2/m 1'
_symmetry_Int_Tables_number 10
_symmetry_space_group_name_Hall '-P 2y'
_cell_length_a 7.087
_cell_length_b 4.077
_cell_length_c 7.088
_cell_angle_alpha 90.00
_cell_angle_beta 109.26
_cell_angle_gamma 90.00
loop_
_atom_site_label
_atom_site_type_symbol
_atom_site_fract_x
_atom_site_fract_y
_atom_site_fract_z
Li1 Li 0.000 0.000 0.000
Sm1 Sm 0.500 0.500 0.000
Y1 Y 0.000 0.500 0.500
Y2 Y 0.500 0.000 0.500
Se1 Se 0.241 0.000 0.750
Se2 Se 0.243 0.500 0.247
```

Calculated values
Raw formation energy, meV/atom: -1759
E, eV/cell: -47.57
Density, g cm⁻³: 5.6
Total magnetic moment, μB/cell: 0.00

=====

No. 9
A relaxed structure of Li3Sm2YSe6, computed with GGA-PBE.

```
data_Li3Sm2YSe6
_chemical_formula_sum 'Li6 Sm4 Y2 Se12'
_symmetry_space_group_name_H-M 'C 1 2/m 1'
_symmetry_Int_Tables_number 12
_symmetry_space_group_name_Hall '-C 2y'
_cell_length_a 7.151
_cell_length_b 12.386
_cell_length_c 6.937
_cell_angle_alpha 90.00
_cell_angle_beta 110.09
_cell_angle_gamma 90.00
loop_
_atom_site_label
_atom_site_type_symbol
_atom_site_fract_x
_atom_site_fract_y
_atom_site_fract_z
Li1 Li 0.000 0.000 0.000
Li2 Li 0.000 0.335 0.000
Sm1 Sm 0.000 0.167 0.500
Y1 Y 0.000 0.500 0.500
Se1 Se 0.243 0.500 0.245
Se2 Se 0.250 0.164 0.244
```

Calculated values
Raw formation energy, meV/atom: -1686
E, eV/cell: -125.56
Density, g cm⁻³: 5.1
Total magnetic moment, μB/cell: 0.00

=====

No. 10
A relaxed structure of Li3Sm2ZrSe6, computed with GGA-PBE.

```
data_Li3Sm2ZrSe6
_chemical_formula_sum 'Li6 Sm4 Zr2 Se12'
_symmetry_space_group_name_H-M 'C 1 2/m 1'
_symmetry_Int_Tables_number 12
_symmetry_space_group_name_Hall '-C 2y'
_cell_length_a 6.974
_cell_length_b 12.075
_cell_length_c 6.937
_cell_angle_alpha 90.00
_cell_angle_beta 109.63
_cell_angle_gamma 90.00
loop_
_atom_site_label
_atom_site_type_symbol
_atom_site_fract_x
_atom_site_fract_y
_atom_site_fract_z
Li1 Li 0.000 0.000 0.000
Li2 Li 0.000 0.335 0.000
Sm1 Sm 0.000 0.167 0.500
Zr1 Zr 0.000 0.500 0.500
Se1 Se 0.231 0.500 0.246
Se2 Se 0.245 0.342 0.758
```

Calculated values
Raw formation energy, meV/atom: -1535
E, eV/cell: -126.11
Density, g cm⁻³: 5.4
Total magnetic moment, μB/cell: 0.00

=====

No. 11
A relaxed structure of Li2SmZrSe4, computed with GGA-PBE.

```
data_Li2SmZrSe4
_chemical_formula_sum 'Li2 Sm1 Zr1 Se4'
_symmetry_space_group_name_H-M 'P 1 2/m 1'
_symmetry_Int_Tables_number 10
_symmetry_space_group_name_Hall '-P 2y'
_cell_length_a 6.895
_cell_length_b 3.943
_cell_length_c 6.932
_cell_angle_alpha 90.00
_cell_angle_beta 109.10
_cell_angle_gamma 90.00
loop_
_atom_site_label
_atom_site_type_symbol
_atom_site_fract_x
_atom_site_fract_y
_atom_site_fract_z
Li1 Li 0.000 0.000 0.000
Li2 Li 0.500 0.500 0.000
Sm1 Sm 0.000 0.500 0.500
Zr1 Zr 0.500 0.000 0.500
Se1 Se 0.263 0.500 0.248
Se2 Se 0.269 0.000 0.760
```

Calculated values
Raw formation energy, meV/atom: -1472
E, eV/cell: -42.81
Density, g cm⁻³: 5.3
Total magnetic moment, μB/cell: 0.00

=====

No. 12
A relaxed structure of Li3Sm3ZrSe8, computed with GGA-PBE.

```
data_Li3Sm3ZrSe8
_chemical_formula_sum 'Li9 Sm9 Zr3 Se24'
_symmetry_space_group_name_H-M 'R -3 m'
_symmetry_Int_Tables_number 166
_symmetry_space_group_name_Hall '-R 3 2"'
_cell_length_a 8.2217
_cell_length_b 8.2217
_cell_length_c 19.4965
_cell_angle_alpha 90.00
_cell_angle_beta 90.00
_cell_angle_gamma 120.00
loop_
_atom_site_label
_atom_site_type_symbol
_atom_site_fract_x
_atom_site_fract_y
_atom_site_fract_z
Li1 Li 0.0000 0.5000 0.0000
Sm1 Sm 0.0000 0.5000 0.5000
Zr1 Zr 0.0000 0.0000 0.5000
Se1 Se 0.0000 0.0000 0.2531
Se2 Se 0.0205 0.5103 0.2487
```

Calculated values
Raw formation energy, meV/atom: -1604
E, eV/cell: -241.15
Density, g cm⁻³: 5.2
Total magnetic moment, μB/cell: 0.00

=====

No. 13
A relaxed structure of LiSm2ZrSe4, computed with GGA-PBE.

```
data_LiSm2ZrSe4
_chemical_formula_sum 'Li1 Sm2 Zr1 Se4'
_symmetry_space_group_name_H-M 'P 1 2/m 1'
_symmetry_Int_Tables_number 10
_symmetry_space_group_name_Hall '-P 2y'
_cell_length_a 6.835
_cell_length_b 4.036
_cell_length_c 7.090
_cell_angle_alpha 90.00
_cell_angle_beta 109.24
_cell_angle_gamma 90.00
loop_
_atom_site_label
_atom_site_type_symbol
_atom_site_fract_x
_atom_site_fract_y
_atom_site_fract_z
Li1 Li 0.000 0.000 0.000
Sm1 Sm 0.500 0.000 0.500
Sm2 Sm 0.500 0.500 0.000
Zr1 Zr 0.000 0.500 0.500
Se1 Se 0.227 0.000 0.748
Se2 Se 0.228 0.500 0.241
```

Calculated values
Raw formation energy, meV/atom: -1563
E, eV/cell: -46.34
Density, g cm⁻³: 6.4
Total magnetic moment, μB/cell: 0.00

=====

No. 14
A relaxed structure of LiSn2Se2, computed with GGA-PBE.

```
data_LiSn2Se2
_chemical_formula_sum 'Li2 Sn4 Se4'
_symmetry_space_group_name_H-M 'I 4/m m m'
_symmetry_Int_Tables_number 139
_symmetry_space_group_name_Hall '-I 4 2'
_cell_length_a 5.636
_cell_length_b 5.636
_cell_length_c 8.784
_cell_angle_alpha 90.00
_cell_angle_beta 90.00
_cell_angle_gamma 90.00
loop_
_atom_site_label
_atom_site_type_symbol
_atom_site_fract_x
_atom_site_fract_y
_atom_site_fract_z
Li1 Li 0.000 0.000 0.000
Sn1 Sn 0.000 0.000 0.332
Se1 Se 0.000 0.500 0.250
```

Calculated values
Raw formation energy, meV/atom: -319
E, eV/cell: -36.96
Density, g cm⁻³: 4.8
Energy relative to the lowest polymorph listed for this composition, meV/atom: 97
Total magnetic moment, μB/cell: 0.00

=====

No. 15
A relaxed structure of Li5SnSe4, computed with GGA-PBE.

```
data_Li5SnSe4
_chemical_formula_sum 'Li10 Sn2 Se8'
_symmetry_space_group_name_H-M 'I m m m'
_symmetry_Int_Tables_number 71
_symmetry_space_group_name_Hall '-I 2 2'
_cell_length_a 4.037
_cell_length_b 7.467
_cell_length_c 14.105
_cell_angle_alpha 90.00
_cell_angle_beta 90.00
_cell_angle_gamma 90.00
loop_
_atom_site_label
_atom_site_type_symbol
_atom_site_fract_x
_atom_site_fract_y
_atom_site_fract_z
Li1 Li 0.000 0.000 0.000
Li2 Li 0.000 0.209 0.321
Sn1 Sn 0.000 0.500 0.000
Se1 Se 0.000 0.275 0.500
Se2 Se 0.000 0.500 0.212
```

Calculated values
Raw formation energy, meV/atom: -985
E, eV/cell: -74.71
Density, g cm⁻³: 3.7
Total magnetic moment, μB/cell: 0.00

=====

No. 16
A relaxed structure of Li3Sn5Se12, computed with GGA-PBE.

```
data_Li3Sn5Se12
_chemical_formula_sum 'Li24 Sn40 Se96'
_symmetry_space_group_name_H-M 'I a -3 d'
_symmetry_Int_Tables_number 230
_symmetry_space_group_name_Hall '-I 4bd 2c 3'
_cell_length_a 16.419
_cell_length_b 16.419
_cell_length_c 16.419
_cell_angle_alpha 90.00
_cell_angle_beta 90.00
_cell_angle_gamma 90.00
loop_
_atom_site_label
_atom_site_type_symbol
_atom_site_fract_x
_atom_site_fract_y
_atom_site_fract_z
Li1 Li 0.000 0.250 0.125
Sn1 Sn 0.000 0.000 0.000
Sn2 Sn 0.000 0.250 0.375
Se1 Se 0.023 0.067 0.651
```

Calculated values
Raw formation energy, meV/atom: -404
E, eV/cell: -605.26
Density, g cm⁻³: 4.7
Total magnetic moment, μB/cell: 0.00

=====

No. 17
A relaxed structure of Li3SnSe, computed with GGA-PBE.

```
data_Li3SnSe
_chemical_formula_sum 'Li3 Sn1 Se1'
_symmetry_space_group_name_H-M 'P m -3 m'
_symmetry_Int_Tables_number 221
_symmetry_space_group_name_Hall '-P 4 2 3'
_cell_length_a 5.057
_cell_length_b 5.057
_cell_length_c 5.057
_cell_angle_alpha 90.00
_cell_angle_beta 90.00
_cell_angle_gamma 90.00
loop_
_atom_site_label
_atom_site_type_symbol
_atom_site_fract_x
_atom_site_fract_y
_atom_site_fract_z
Li1 Li 0.000 0.000 0.500
Sn1 Sn 0.000 0.000 0.000
Se1 Se 0.500 0.500 0.500
```

Calculated values
Raw formation energy, meV/atom: 124
E, eV/cell: -12.61
Density, g cm⁻³: 2.8
Energy relative to the lowest polymorph listed for this composition, meV/atom: 630
Total magnetic moment, μB/cell: 0.00

=====

No. 18
A relaxed structure of LiSn2Se4, computed with GGA-PBE.

```
data_LiSn2Se4
_chemical_formula_sum 'Li4 Sn8 Se16'
_symmetry_space_group_name_H-M 'I 41/a m d'
_symmetry_Int_Tables_number 141
_cell_length_a 8.036
_cell_length_b 8.036
_cell_length_c 11.392
_cell_angle_alpha 90.00
_cell_angle_beta 90.00
_cell_angle_gamma 90.00
loop_
_symmetry_equiv_pos_as_xyz
'x,y,z'
'-x,-y,-z'
'-y+1/4,x+3/4,z+1/4'
'y+1/4,-x+3/4,-z+1/4'
'-x+1/2,-y,z+1/2'
'x+1/2,y,-z+1/2'
'y+1/4,-x+1/4,z+3/4'
'-y+1/4,x+1/4,-z+3/4'
'x,-y,-z'
'-x,y,z'
'-y+1/4,-x+1/4,-z+3/4'
'y+1/4,x+1/4,z+3/4'
'-x+1/2,y,-z+1/2'
'x+1/2,-y,z+1/2'
'y+1/4,x+3/4,-z+1/4'
'-y+1/4,-x+3/4,z+1/4'
'x+1/2,y+1/2,z+1/2'
'-x+1/2,-y+1/2,-z+1/2'
'-y+3/4,x+1/4,z+3/4'
'y+3/4,-x+1/4,-z+3/4'
'-x,-y+1/2,z'
'x,y+1/2,-z'
'y+3/4,-x+3/4,z+1/4'
'-y+3/4,x+3/4,-z+1/4'
'x+1/2,-y+1/2,-z+1/2'
'-x+1/2,y+1/2,z+1/2'
'-y+3/4,-x+3/4,-z+1/4'
'y+3/4,x+3/4,z+1/4'
'-x,y+1/2,-z'
'x,-y+1/2,z'
'y+3/4,x+1/4,-z+3/4'
'-y+3/4,-x+1/4,z+3/4'
loop_
_atom_site_label
_atom_site_type_symbol
_atom_site_fract_x
_atom_site_fract_y
_atom_site_fract_z
Li1 Li 0.000 0.250 0.375
Sn1 Sn 0.000 0.000 0.000
Se1 Se 0.000 0.008 0.754
```

Calculated values
Raw formation energy, meV/atom: -546
E, eV/cell: -110.71
Density, g cm⁻³: 5.1
Energy relative to the lowest polymorph listed for this composition, meV/atom: 0
Total magnetic moment, μB/cell: 0.00